## SrTiFe2S (GGA-PBE)

Data for crystalline SrTiFe2S at its relaxed geometry.

Unit cell a=4.611 b=4.611 c=5.311 alpha=90.00 beta=90.00 gamma=90.00
Space group P4/mmm (No. 123)
Symmetry-distinct sites (fractional):
Sr: 0.000 0.000 0.000 (multiplicity 1)
Ti: 0.000 0.000 0.500 (multiplicity 1)
Fe: 0.000 0.500 0.000 (multiplicity 2)
S: 0.500 0.500 0.500 (multiplicity 1)

The value obtained for the uncorrected formation energy is 2.233 eV per atom. The calculation puts the total magnetic moment at 5.74 μB per cell. For the volume, the calculation gives 22.6 Å³/atom.

## Tl2CdAs2 (GGA-PBE)

Data for crystalline Tl2CdAs2 at its relaxed geometry.

Unit cell a=7.073 b=7.073 c=5.394 alpha=90.00 beta=90.00 gamma=90.00
Space group P4/mbm (No. 127)
Symmetry-distinct sites (fractional):
Tl: 0.177 0.323 0.000 (multiplicity 4)
Cd: 0.000 0.000 0.500 (multiplicity 2)
As: 0.124 0.624 0.500 (multiplicity 4)

Its formation enthalpy at 0 K is 19 meV per atom. The calculation puts the total magnetic moment at 0.00 μB per cell. The value obtained for the energy above the most stable polymorph in this dataset is 0 meV per atom. For the volume, the calculation gives 27.0 Å³/atom.